1.
Entry from the Alexandria database: an optimized crystal structure of HfSbNO2 (PBE).

Computed properties:
raw formation energy: -1331.2 meV/atom

Lattice parameters (Å, degrees): 4.027 4.027 4.396 90.00 90.00 90.00
Fractional positions:
Sb 0.500 0.500 0.500
Hf 0.000 0.000 0.000
O 0.000 0.500 0.000
O 0.500 0.000 0.000
N 0.000 0.000 0.500

=====

2.
Entry from the Alexandria database: an optimized crystal structure of HfSbNO2 (PBE).

Computed properties:
raw formation energy: -242.5 meV/atom

Lattice parameters (Å, degrees): 4.031 4.031 4.172 90.00 90.00 90.00
Fractional positions:
Sb 0.000 0.000 0.000
Hf 0.500 0.500 0.500
O 0.000 0.500 0.000
O 0.500 0.000 0.000
N 0.000 0.000 0.500

=====

3.
Entry from the Alexandria database: an optimized crystal structure of HfSeN2O (PBE).

Computed properties:
raw formation energy: 159.9 meV/atom

Lattice parameters (Å, degrees): 4.316 4.316 3.940 90.00 90.00 90.00
Fractional positions:
Hf 0.000 0.000 0.000
O 0.000 0.000 0.500
Se 0.500 0.500 0.500
N 0.000 0.500 0.000
N 0.500 0.000 0.000

=====

4.
Entry from the Alexandria database: an optimized crystal structure of HfSeN2O (PBE).

Computed properties:
raw formation energy: 973.7 meV/atom

Lattice parameters (Å, degrees): 3.939 3.939 3.774 90.00 90.00 90.00
Fractional positions:
Hf 0.500 0.500 0.500
O 0.000 0.000 0.000
Se 0.000 0.000 0.500
N 0.000 0.500 0.000
N 0.500 0.000 0.000